Record 1
Density functional theory data (PBE) for a relaxed structure of CeYTlO2.

Cell: 3.9370 3.9370 7.2792 Å, 105.69 105.69 90.00°
With the nearest neighbours (Å) after each atom.
Element x y z (fractional)
O (0.2503, 0.7503, 0.5007)  2 Y 2.26, 2 Ce 2.30
O (0.7503, 0.2503, 0.5007)  2 Y 2.26, 2 Ce 2.30
Ce (0.1624, 0.1624, 0.3247)  4 O 2.30
Tl (0.5037, 0.5037, 0.0075)  4 Ce 3.51, 4 Y 3.61, 4 O 3.86
Y (0.8332, 0.8332, 0.6665)  4 O 2.26

Properties
SG = I4mm, No. 107


Record 2
Density functional theory data (PBE) for a relaxed structure of Ce3TmO6.

Cell: 6.9389 6.9389 6.9389 Å, 91.87 91.87 91.87°
With the nearest neighbours (Å) after each atom.
Element x y z (fractional)
Tm (0.0000, 0.0000, 0.0000)  6 O 2.27
Tm (0.5000, 0.5000, 0.5000)  6 O 2.24
O (0.8077, 0.4645, 0.5953)  1 Tm 2.24, 3 Ce 2.36-2.42
O (0.3081, 0.9133, 0.0634)  1 Tm 2.27, 3 Ce 2.31-2.52
O (0.4645, 0.5953, 0.8077)  1 Tm 2.24, 3 Ce 2.36-2.42
O (0.0867, 0.9366, 0.6919)  1 Tm 2.27, 3 Ce 2.31-2.52
O (0.9133, 0.0634, 0.3081)  1 Tm 2.27, 3 Ce 2.31-2.52
O (0.1923, 0.5355, 0.4047)  1 Tm 2.24, 3 Ce 2.36-2.42
O (0.5355, 0.4047, 0.1923)  1 Tm 2.24, 3 Ce 2.36-2.42
O (0.0634, 0.3081, 0.9133)  1 Tm 2.27, 3 Ce 2.31-2.52
O (0.5953, 0.8077, 0.4645)  1 Tm 2.24, 3 Ce 2.36-2.42
O (0.4047, 0.1923, 0.5355)  1 Tm 2.24, 3 Ce 2.36-2.42
O (0.9366, 0.6919, 0.0867)  1 Tm 2.27, 3 Ce 2.31-2.52
O (0.6919, 0.0867, 0.9366)  1 Tm 2.27, 3 Ce 2.31-2.52
Ce (0.0634, 0.2521, 0.5531)  6 O 2.31-2.52
Ce (0.7479, 0.4469, 0.9366)  6 O 2.31-2.52
Ce (0.2521, 0.5531, 0.0634)  6 O 2.31-2.52
Ce (0.9366, 0.7479, 0.4469)  6 O 2.31-2.52
Ce (0.4469, 0.9366, 0.7479)  6 O 2.31-2.52
Ce (0.5531, 0.0634, 0.2521)  6 O 2.31-2.52

Properties
SG = R-3, No. 148


no.,E_tot (eV/atom)
1,-7.35
2,-8.58